# VAuSO2 (GGA+U, relaxed)
data_VAuSO2
_chemical_formula_sum 'V1 Au1 S1 O2'
_space_group_name_H-M_alt 'P 4/m m m'
_space_group_IT_number 123
_space_group_name_Hall '-P 4 2'
_cell_length_a 3.920
_cell_length_b 3.920
_cell_length_c 4.750
_cell_angle_alpha 90.00
_cell_angle_beta 90.00
_cell_angle_gamma 90.00
loop_
_atom_site_label
_atom_site_type_symbol
_atom_site_fract_x
_atom_site_fract_y
_atom_site_fract_z
V1 V 0.000 0.000 0.000
Au1 Au 0.500 0.500 0.000
S1 S 0.500 0.500 0.500
O1 O 0.000 0.500 0.500
# calculated volume	73	Å³/f.u.
# total magnetic moment	1.009	μB per formula unit
# electronic total energy	-4.367	eV per atom